A geometry-optimized NaCoIr3 structure. Source: Alexandria via LeMat-Bulk, functional PBE-GGA.

Cell: 4.5318 4.5318 4.5318 Å, 90.00 90.00 90.00°
Closest atoms and distances in Å follow each position.
Space group Pm-3m (No. 221)
One atom of each set of equivalent atoms:
Na 0.0000 0.0000 0.0000 [1 per cell]  12 Ir 3.20
Co 0.5000 0.5000 0.5000 [1 per cell]  6 Ir 2.27
Ir 0.0000 0.5000 0.5000 [3 per cell]  2 Co 2.27

The formation energy comes out at 1.23 eV per atom.

---

A geometry-optimized KBaRu3 structure. Source: Alexandria via LeMat-Bulk, functional PBE-GGA.

Cell: 5.2625 5.2625 5.2625 Å, 90.00 90.00 90.00°
Closest atoms and distances in Å follow each position.
Space group Pm-3m (No. 221)
One atom of each set of equivalent atoms:
K 0.0000 0.0000 0.0000 [1 per cell]  12 Ru 3.72
Ba 0.5000 0.5000 0.5000 [1 per cell]  6 Ru 2.63
Ru 0.0000 0.5000 0.5000 [3 per cell]  2 Ba 2.63

As for the energy above the most stable polymorph in this dataset: 0 meV/atom. The formation energy comes out at 2.30 eV per atom.

---

A geometry-optimized GaRe2OsI structure. Source: Alexandria via LeMat-Bulk, functional PBE-GGA.

Cell: 4.8720 4.8720 4.8250 Å, 90.00 90.00 90.00°
Closest atoms and distances in Å follow each position.
Space group P4/mmm (No. 123)
One atom of each set of equivalent atoms:
Ga 0.0000 0.0000 0.0000 [1 per cell]  8 Re 3.43, 4 Os 3.45
Re 0.0000 0.5000 0.5000 [2 per cell]  2 I 2.44
Os 0.5000 0.5000 0.0000 [1 per cell]  2 I 2.41
I 0.5000 0.5000 0.5000 [1 per cell]  2 Os 2.41, 4 Re 2.44

As for the raw formation energy: 65.26 kcal/mol of atoms.

---

A geometry-optimized TaAgBi2Pd structure. Source: Alexandria via LeMat-Bulk, functional PBE-GGA.

Cell: 5.3374 5.3374 5.1082 Å, 90.00 90.00 90.00°
Closest atoms and distances in Å follow each position.
Space group P4/mmm (No. 123)
One atom of each set of equivalent atoms:
Ta 0.0000 0.0000 0.0000 [1 per cell]  2 Ag 2.55
Ag 0.0000 0.0000 0.5000 [1 per cell]  2 Ta 2.55, 4 Bi 2.67
Bi 0.0000 0.5000 0.5000 [2 per cell]  2 Ag 2.67
Pd 0.5000 0.5000 0.0000 [1 per cell]  8 Bi 3.69, 4 Ta 3.77

The formation energy comes out at 1.43 eV per atom.

---

A geometry-optimized Ni2PbW structure. Source: Alexandria via LeMat-Bulk, functional PBE-GGA.

Cell: 2.8849 4.1747 5.3171 Å, 90.00 105.61 90.00°
Closest atoms and distances in Å follow each position.
Space group Pm (No. 6)
One atom of each set of equivalent atoms:
Ni 0.0000 0.0000 0.0000 [1 per cell]  2 Ni 2.54, 4 W 2.66, 1 Pb 2.67
Ni 0.1400 0.5000 0.2811 [1 per cell]  2 Ni 2.54, 2 W 2.66, 4 Pb 2.73
Pb 0.7383 0.0000 0.4787 [1 per cell]  7 Ni 2.67-2.85, 2 Pb 2.88
W 0.4232 0.5000 0.8441 [1 per cell]  7 Ni 2.66-2.88, 2 W 2.88

The formation energy comes out at 0.47 eV per atom.

---

A geometry-optimized Er2ReS structure. Source: Alexandria via LeMat-Bulk, functional PBE-GGA.

Cell: 3.3632 3.3632 26.8736 Å, 90.00 90.00 120.00°
Closest atoms and distances in Å follow each position.
Space group R-3m (No. 166, hexagonal axes)
One atom of each set of equivalent atoms:
Er 0.0000 0.0000 0.0991 [6 per cell]  3 S 2.66, 1 Re 2.66
Re 0.0000 0.0000 0.0000 [3 per cell]  2 Er 2.66
S 0.0000 0.0000 0.5000 [3 per cell]  6 Er 2.66

As for the raw formation energy: 0.14 kcal/mol of atoms.

---

A geometry-optimized DyHoAu structure. Source: Alexandria via LeMat-Bulk, functional PBE-GGA.

Cell: 7.0997 4.9550 8.9221 Å, 90.00 90.00 90.00°
Closest atoms and distances in Å follow each position.
Space group Pnma (No. 62)
One atom of each set of equivalent atoms:
Dy 0.0129 0.2500 0.1765 [4 per cell]  3 Au 2.95-3.15
Ho 0.1492 0.2500 0.5810 [4 per cell]  4 Au 2.89-3.05
Au 0.2429 0.2500 0.9017 [4 per cell]  4 Ho 2.89-3.05, 3 Dy 2.95-3.15

As for the energy above the most stable polymorph in this dataset: 0 meV/atom. The formation energy comes out at -0.64 eV per atom.

---

A geometry-optimized Pm3Cd structure. Source: Alexandria via LeMat-Bulk, functional PBE-GGA.

Cell: 3.8954 5.5400 11.6644 Å, 90.00 90.00 90.00°
Closest atoms and distances in Å follow each position.
Space group Immm (No. 71)
One atom of each set of equivalent atoms:
Pm 0.0000 0.0000 0.0000 [2 per cell]  4 Cd 3.39, 4 Pm 3.77
Pm 0.0000 0.5000 0.2234 [4 per cell]  2 Cd 3.25, 4 Pm 3.44
Cd 0.0000 0.0000 0.5000 [2 per cell]  8 Pm 3.25-3.39

As for the energy above the most stable polymorph in this dataset: 0 meV/atom. The formation energy comes out at -0.14 eV per atom.

---

A geometry-optimized InCSe2Br structure. Source: Alexandria via LeMat-Bulk, functional PBE-GGA.

Cell: 4.2972 4.2972 7.5876 Å, 90.00 90.00 90.00°
Closest atoms and distances in Å follow each position.
Space group P4/mmm (No. 123)
One atom of each set of equivalent atoms:
In 0.0000 0.0000 0.0000 [1 per cell]  4 Br 3.04
C 0.5000 0.5000 0.5000 [1 per cell]  4 Se 2.15
Se 0.0000 0.5000 0.5000 [2 per cell]  2 C 2.15
Br 0.5000 0.5000 0.0000 [1 per cell]  4 In 3.04

As for the energy above the most stable polymorph in this dataset: 0 meV/atom. As for the raw formation energy: 17.88 kcal/mol of atoms.

---

A geometry-optimized CePuGaTc structure. Source: Alexandria via LeMat-Bulk, functional PBE-GGA.

Cell: 3.7079 3.7079 6.1102 Å, 90.00 90.00 90.00°
Closest atoms and distances in Å follow each position.
Space group P4mm (No. 99)
One atom of each set of equivalent atoms:
Ce 0.0000 0.0000 0.0000 [1 per cell]  2 Pu 2.96-3.15, 4 Tc 3.07, 4 Ga 3.10
Pu 0.0000 0.0000 0.4848 [1 per cell]  4 Tc 2.96, 2 Ce 2.96-3.15, 4 Ga 3.02
Ga 0.5000 0.5000 0.7308 [1 per cell]  1 Tc 2.88, 4 Pu 3.02, 4 Ce 3.10
Tc 0.5000 0.5000 0.2602 [1 per cell]  1 Ga 2.88, 4 Pu 2.96, 4 Ce 3.07

As for the energy above the most stable polymorph in this dataset: 0 meV/atom. The formation energy comes out at -0.16 eV per atom.

---

A geometry-optimized KB6PbC6 structure. Source: Alexandria via LeMat-Bulk, functional PBE-GGA.

Cell: 4.9069 4.9069 4.9069 Å, 90.00 90.00 90.00°
Closest atoms and distances in Å follow each position.
Space group Pm-3 (No. 200)
One atom of each set of equivalent atoms:
K 0.0000 0.0000 0.0000 [1 per cell]  12 B 2.74, 12 C 2.75
B 0.0000 0.2488 0.5000 [6 per cell]  4 C 1.73-1.74
Pb 0.5000 0.5000 0.5000 [1 per cell]  12 C 2.74, 12 B 2.75
C 0.0000 0.5000 0.2511 [6 per cell]  4 B 1.73-1.74

The formation energy comes out at 0.64 eV per atom.

---

A geometry-optimized CaNb2AsP structure. Source: Alexandria via LeMat-Bulk, functional PBE-GGA.

Cell: 4.8254 4.8254 5.1738 Å, 90.00 90.00 90.00°
Closest atoms and distances in Å follow each position.
Space group P4/mmm (No. 123)
One atom of each set of equivalent atoms:
Ca 0.0000 0.0000 0.0000 [1 per cell]  4 P 3.41, 8 Nb 3.54
Nb 0.0000 0.5000 0.5000 [2 per cell]  2 As 2.41
As 0.5000 0.5000 0.5000 [1 per cell]  4 Nb 2.41, 2 P 2.59
P 0.5000 0.5000 0.0000 [1 per cell]  2 As 2.59

The formation energy comes out at 0.61 eV per atom.

---

A geometry-optimized Ag2AuSe structure. Source: Alexandria via LeMat-Bulk, functional PBE-GGA.

Cell: 7.9483 2.9089 7.0117 Å, 90.00 97.98 90.00°
Closest atoms and distances in Å follow each position.
Space group C2/m (No. 12)
One atom of each set of equivalent atoms:
Ag 0.2493 0.0000 0.2473 [4 per cell]  3 Au 2.82-2.85, 3 Se 2.84-2.87, 2 Ag 2.91
Au 0.0000 0.5000 0.0000 [2 per cell]  6 Ag 2.82-2.85, 2 Au 2.91
Se 0.0000 0.0000 0.5000 [2 per cell]  6 Ag 2.84-2.87, 2 Se 2.91

As for the raw formation energy: 2.04 kcal/mol of atoms.

---

A geometry-optimized HoZnHg structure. Source: Alexandria via LeMat-Bulk, functional PBE-GGA.

Cell: 10.6946 4.6742 6.9271 Å, 90.00 130.37 90.00°
Closest atoms and distances in Å follow each position.
Space group C2/m (No. 12)
One atom of each set of equivalent atoms:
Ho 0.0007 0.0000 0.2496 [4 per cell]  6 Hg 3.15-3.24, 6 Zn 3.18-3.29, 2 Ho 3.45-3.48
Zn 0.1561 0.5000 0.6572 [4 per cell]  1 Zn 2.54, 2 Hg 2.70
Hg 0.1771 0.5000 0.1760 [4 per cell]  2 Zn 2.70, 1 Hg 2.89

The formation energy comes out at -0.39 eV per atom.

---

A geometry-optimized KSn2SO structure. Source: Alexandria via LeMat-Bulk, functional PBE-GGA.

Cell: 4.7249 4.7249 5.4519 Å, 90.00 90.00 90.00°
Closest atoms and distances in Å follow each position.
Space group P4/mmm (No. 123)
One atom of each set of equivalent atoms:
K 0.0000 0.0000 0.0000 [1 per cell]  2 O 2.73
Sn 0.0000 0.5000 0.5000 [2 per cell]  2 O 2.36
S 0.5000 0.5000 0.0000 [1 per cell]  4 K 3.34, 8 Sn 3.61
O 0.0000 0.0000 0.5000 [1 per cell]  4 Sn 2.36

As for the raw formation energy: -11.52 kcal/mol of atoms.

---

A geometry-optimized NaAl2CuSe4 structure. Source: Alexandria via LeMat-Bulk, functional PBE-GGA.

Cell: 5.6202 5.6202 12.4110 Å, 90.00 90.00 90.00°
Closest atoms and distances in Å follow each position.
Space group I-42m (No. 121)
One atom of each set of equivalent atoms:
Na 0.0000 0.0000 0.0000 [2 per cell]  4 Se 2.74
Al 0.0000 0.5000 0.2500 [4 per cell]  4 Se 2.45
Cu 0.0000 0.0000 0.5000 [2 per cell]  4 Se 2.48
Se 0.2288 0.2288 0.6360 [8 per cell]  2 Al 2.45, 1 Cu 2.48, 1 Na 2.74

As for the raw formation energy: -17.73 kcal/mol of atoms.

---

A geometry-optimized Tl2HgMo structure. Source: Alexandria via LeMat-Bulk, functional PBE-GGA.

Cell: 5.3343 3.1937 5.5836 Å, 90.00 112.20 90.00°
Closest atoms and distances in Å follow each position.
Space group P2/m (No. 10)
One atom of each set of equivalent atoms:
Tl 0.0000 0.0000 0.0000 [1 per cell]  2 Hg 3.05, 4 Mo 3.11, 6 Tl 3.19-3.22
Tl 0.0000 0.5000 0.5000 [1 per cell]  2 Mo 3.05, 4 Hg 3.11, 6 Tl 3.19-3.22
Hg 0.5000 0.0000 0.5000 [1 per cell]  6 Tl 3.05-3.11, 2 Hg 3.19, 4 Mo 3.22
Mo 0.5000 0.5000 0.0000 [1 per cell]  6 Tl 3.05-3.11, 2 Mo 3.19, 4 Hg 3.22

As for the energy above the most stable polymorph in this dataset: 141 meV/atom. The formation energy comes out at 0.69 eV per atom.

---

A geometry-optimized LiZrSn structure. Source: Alexandria via LeMat-Bulk, functional PBE-GGA.

Cell: 3.2806 3.2806 11.1659 Å, 90.00 90.00 90.00°
Closest atoms and distances in Å follow each position.
Space group I4mm (No. 107)
One atom of each set of equivalent atoms:
Li 0.0000 0.0000 0.0000 [2 per cell]  4 Sn 2.76, 4 Zr 3.05
Zr 0.0000 0.0000 0.3226 [2 per cell]  4 Li 3.05, 4 Sn 3.13, 4 Zr 3.28
Sn 0.0000 0.0000 0.6343 [2 per cell]  4 Li 2.76

The formation energy comes out at -0.17 eV per atom.

---

A geometry-optimized UPaNb2 structure. Source: Alexandria via LeMat-Bulk, functional PBE-GGA.

Cell: 3.3933 3.3933 7.4778 Å, 90.00 90.00 90.00°
Closest atoms and distances in Å follow each position.
Space group P4/mmm (No. 123)
One atom of each set of equivalent atoms:
U 0.0000 0.0000 0.0000 [1 per cell]  8 Nb 2.86
Pa 0.0000 0.0000 0.5000 [1 per cell]  8 Nb 3.24, 4 Pa 3.39
Nb 0.5000 0.5000 0.2088 [2 per cell]  4 U 2.86, 1 Nb 3.12

As for the energy above the most stable polymorph in this dataset: 0 meV/atom. The formation energy comes out at 0.36 eV per atom.

---

A geometry-optimized Li12Zn3Pt5 structure. Source: Alexandria via LeMat-Bulk, functional PBE-GGA.

Cell: 15.0476 15.0476 15.0476 Å, 90.00 90.00 90.00°
Closest atoms and distances in Å follow each position.
Space group Ia-3d (No. 230)
One atom of each set of equivalent atoms:
Li 0.0345 0.0696 0.6405 [96 per cell]  2 Pt 2.38-2.42
Zn 0.0000 0.2500 0.1250 [24 per cell]  8 Li 2.77-3.09
Pt 0.0000 0.0000 0.0000 [16 per cell]  6 Li 2.42
Pt 0.0000 0.2500 0.3750 [24 per cell]  4 Li 2.38

The formation energy comes out at 0.14 eV per atom.

---

Number 1: volume 93.07 Å³/f.u., total energy -5.7711 eV per atom. Number 2: volume 145.74 Å³/f.u., total energy -3.8722 eV per atom. Number 3: volume 114.53 Å³/f.u., total energy -5.3108 eV per atom. Number 4: volume 145.52 Å³/f.u., total energy -4.0982 eV per atom. Number 5: volume 61.68 Å³/f.u., total energy -6.5830 eV per atom. Number 6: volume 87.75 Å³/f.u., total energy -6.4192 eV per atom. Number 7: volume 78.47 Å³/f.u., total energy -4.7950 eV per atom. Number 8: volume 125.86 Å³/f.u., total energy -3.9304 eV per atom. Number 9: volume 140.11 Å³/f.u., total energy -3.3457 eV per atom. Number 10: volume 84.01 Å³/f.u., total energy -8.5746 eV per atom. Number 11: volume 118.14 Å³/f.u., total energy -6.5206 eV per atom. Number 12: volume 120.47 Å³/f.u., total energy -5.8326 eV per atom. Number 13: volume 80.27 Å³/f.u., total energy -3.0277 eV per atom. Number 14: volume 65.96 Å³/f.u., total energy -2.4460 eV per atom. Number 15: volume 121.71 Å³/f.u., total energy -4.1374 eV per atom. Number 16: volume 196.01 Å³/f.u., total energy -4.1237 eV per atom. Number 17: volume 88.07 Å³/f.u., total energy -3.2755 eV per atom. Number 18: volume 60.08 Å³/f.u., total energy -4.9961 eV per atom. Number 19: volume 86.11 Å³/f.u., total energy -9.8704 eV per atom. Number 20: volume 425.90 Å³/f.u., total energy -2.7095 eV per atom.